Record 1
Compound: BaIr2Pt
Source: the Alexandria database
Functional: SCAN
Structure: single point on PBEsol structure

Output
Formation energy from the elements: 1040 meV/atom
Total magnetic moment: 1.77 μB/f.u.
Crystal system: cubic

CIF file:
```
data_BaIr2Pt
_cell_length_a 6.685
_cell_length_b 6.685
_cell_length_c 6.685
_cell_angle_alpha 90.00
_cell_angle_beta 90.00
_cell_angle_gamma 90.00
_symmetry_space_group_name_H-M 'F m -3 m'
_symmetry_Int_Tables_number 225
_symmetry_space_group_name_Hall '-F 4 2 3'
loop_
_atom_site_label
_atom_site_fract_x
_atom_site_fract_y
_atom_site_fract_z
Ba1 0.000 0.000 0.000
Ir1 0.250 0.250 0.250
Pt1 0.000 0.000 0.500
```


Record 2
Compound: BaIr2Pt
Source: the Alexandria database
Functional: SCAN
Structure: single point on PBEsol structure

Output
Formation energy from the elements: 430 meV/atom
Total magnetic moment: 0.00 μB/f.u.
Crystal system: monoclinic

CIF file:
```
data_BaIr2Pt
_cell_length_a 2.889
_cell_length_b 4.637
_cell_length_c 6.031
_cell_angle_alpha 90.00
_cell_angle_beta 101.36
_cell_angle_gamma 90.00
_symmetry_space_group_name_H-M 'P 1 2/m 1'
_symmetry_Int_Tables_number 10
_symmetry_space_group_name_Hall '-P 2y'
loop_
_atom_site_label
_atom_site_fract_x
_atom_site_fract_y
_atom_site_fract_z
Ba1 0.000 0.000 0.000
Ir1 0.321 0.500 0.679
Pt1 0.500 0.000 0.500
```


Record 3
Compound: BaIr2Pt
Source: the Alexandria database
Functional: SCAN
Structure: single point on PBEsol structure

Output
Formation energy from the elements: 557 meV/atom
Total magnetic moment: 0.00 μB/f.u.
Crystal system: orthorhombic

CIF file:
```
data_BaIr2Pt
_cell_length_a 2.870
_cell_length_b 5.062
_cell_length_c 10.374
_cell_angle_alpha 90.00
_cell_angle_beta 90.00
_cell_angle_gamma 90.00
_symmetry_space_group_name_H-M 'I m m m'
_symmetry_Int_Tables_number 71
_symmetry_space_group_name_Hall '-I 2 2'
loop_
_atom_site_label
_atom_site_fract_x
_atom_site_fract_y
_atom_site_fract_z
Ba1 0.000 0.000 0.000
Ir1 0.000 0.500 0.223
Pt1 0.000 0.000 0.500
```


- Among the records above, which one has the lowest formation energy from the elements?
  number 2


- Among the records above, which one has the lowest formation energy from the elements?
  number 2


- Which formula does entry 1 have?
  BaIr2Pt